Record 1
Computed, not measured: an optimized crystal structure of DyUTc at the PBE level of DFT.

Calculated values
E above lowest polymorph	230.8	meV per atom
crystal system	trigonal
total magnetization	0.5	μB per cell
energy of formation	0.239	eV per atom
uncorrected energy	-25.54	eV for the cell shown

Cell lengths 3.4539, 3.4539, 6.6109 Å; angles 90.00, 90.00, 120.00 degrees
Closest atoms and distances in Å follow each position.
Space group P3m1 (No. 156)
Asymmetric unit:
Dy 0.0000 0.0000 0.0000 (multiplicity 1)  3 Tc 3.12, 3 U 3.30, 6 Dy 3.45
U 0.6667 0.3333 0.3974 (multiplicity 1)  3 Tc 2.54
Tc 0.3333 0.6667 0.6364 (multiplicity 1)  3 U 2.54

=====

Record 2
Computed, not measured: an optimized crystal structure of CaSmY2 at the PBE level of DFT.

Calculated values
E above lowest polymorph	12.2	meV per atom
crystal system	tetragonal
total magnetization	0.0	μB per cell
energy of formation	0.068	eV per atom
uncorrected energy	-19.38	eV for the cell shown

Cell lengths 3.6595, 3.6595, 10.4148 Å; angles 90.00, 90.00, 90.00 degrees
Closest atoms and distances in Å follow each position.
Space group P4/mmm (No. 123)
Asymmetric unit:
Ca 0.0000 0.0000 0.0000 (multiplicity 1)  4 Ca 3.66, 8 Y 3.80
Sm 0.0000 0.0000 0.5000 (multiplicity 1)  8 Y 3.54, 4 Sm 3.66
Y 0.5000 0.5000 0.2676 (multiplicity 2)  4 Sm 3.54, 4 Y 3.66, 4 Ca 3.80

=====

Record 3
Computed, not measured: an optimized crystal structure of RePOs2 at the PBE level of DFT.

Calculated values
crystal system	monoclinic
total magnetization	0.0	μB per cell
energy of formation	0.061	eV per atom
uncorrected energy	-80.15	eV for the cell shown

Cell lengths 10.3756, 2.8194, 3.8587 Å; angles 90.00, 91.97, 90.00 degrees
Closest atoms and distances in Å follow each position.
Space group Cm (No. 8)
Asymmetric unit:
Re 0.0000 0.0000 0.0000 (multiplicity 2)  2 P 2.43-2.58, 4 Os 2.70-2.71
P 0.1545 0.0000 0.4896 (multiplicity 2)  5 Os 2.31-2.58, 2 Re 2.43-2.58
Os 0.2286 0.5000 0.9725 (multiplicity 2)  4 P 2.44-2.58
Os 0.3775 0.0000 0.4894 (multiplicity 2)  1 P 2.31